Tb2PbWO8: relaxed, PBE with a Hubbard U.

Total DFT energy (no corrections), eV per cell: -88.16

Geometry as CIF:
```
data_Tb2PbWO8
_cell_length_a 5.0166
_cell_length_b 6.8761
_cell_length_c 5.0185
_cell_angle_alpha 90.00
_cell_angle_beta 92.46
_cell_angle_gamma 90.00
_symmetry_space_group_name_H-M 'P 1 2/m 1'
_symmetry_Int_Tables_number 10
_symmetry_space_group_name_Hall '-P 2y'
loop_
_atom_site_label
_atom_site_fract_x
_atom_site_fract_y
_atom_site_fract_z
_atom_site_occupancy
Tb1 0.0000 0.2427 0.0000 1
Pb1 0.5000 0.5000 0.5000 1
W1 0.5000 0.0000 0.5000 1
O1 0.2043 0.5000 0.2031 1
O2 0.2201 0.0000 0.2189 1
O3 0.3165 0.2136 0.6815 1
```